1.
GGA-PBEsol NiP2Pb, optimized geometry; SG = No. 10; volume = 17.90 Å³/atom; formation energy = -177 meV per atom
1.0
-2.961 0.104 -2.139
-2.439 -0.005 3.377
0.749 4.703 -0.810
Ni P Pb
1 2 1
Direct
0.500 0.500 0.000
0.000 0.259 0.124
0.000 0.741 0.876
0.500 0.000 0.500

---

2.
GGA-PBEsol Ni2PPb, optimized geometry; SG = No. 123; volume = 14.79 Å³/atom; formation energy = 23 meV per atom
1.0
-2.834 -0.792 -0.256
0.171 -1.443 2.571
-1.869 5.630 3.284
Ni P Pb
2 1 1
Direct
0.000 0.000 0.824
0.000 0.000 0.176
0.500 0.500 0.000
0.500 0.500 0.500

---

3.
GGA-PBEsol Ni2PPb, optimized geometry; SG = No. 71; volume = 16.30 Å³/atom; formation energy = 93 meV per atom
1.0
3.543 0.000 0.000
1.771 4.338 0.018
1.771 0.883 4.247
Ni P Pb
2 1 1
Direct
0.181 0.819 0.819
0.819 0.181 0.181
0.500 0.000 0.000
0.000 0.500 0.500

---

4.
GGA-PBEsol NiPPbS2, optimized geometry; formation energy from raw total energies = 1.50 eV per atom; SG = No. 123; volume = 26.26 Å³/atom
1.0
5.096 0.000 0.000
0.000 5.076 0.000
0.000 0.000 5.076
Pb Ni S P
1 1 2 1
Direct
0.000 0.000 0.000
0.500 0.500 0.500
0.000 0.000 0.500
0.000 0.500 0.000
0.500 0.000 0.000

---

5.
GGA-PBEsol Y2NiPPb, optimized geometry; SG = No. 123; volume = 31.60 Å³/atom; formation energy = 1080 meV per atom
1.0
-4.550 -0.573 -1.692
1.811 -4.122 -3.473
-1.019 -3.860 4.049
Pb Y P Ni
1 2 1 1
Direct
0.000 0.000 0.000
0.000 0.000 0.500
0.000 0.500 0.000
0.500 0.000 0.000
0.500 0.500 0.500

---

6.
GGA-PBEsol Ni2PPd, optimized geometry; SG = No. 63; volume = 11.64 Å³/atom; formation energy = -544 meV per atom
1.0
3.446 0.000 0.000
-1.723 4.163 0.000
0.000 0.000 6.489
Ni P Pd
4 2 2
Direct
0.147 0.293 0.445
0.853 0.707 0.555
0.853 0.707 0.945
0.147 0.293 0.055
0.731 0.463 0.250
0.269 0.537 0.750
0.445 0.890 0.250
0.555 0.110 0.750

---

7.
GGA-PBEsol NiP2Pd2, optimized geometry; SG = No. 127; volume = 13.43 Å³/atom; formation energy = -438 meV per atom
1.0
4.115 0.000 0.000
0.000 5.713 0.000
0.000 0.000 5.713
Ni Pd P
2 4 4
Direct
0.000 0.000 0.000
0.000 0.500 0.500
0.500 0.233 0.733
0.500 0.733 0.767
0.500 0.767 0.267
0.500 0.267 0.233
0.000 0.368 0.868
0.000 0.868 0.632
0.000 0.632 0.132
0.000 0.132 0.368

---

8.
GGA-PBEsol Pr6Ni20P13, optimized geometry; SG = No. 174; volume = 13.55 Å³/atom; formation energy = -927 meV per atom
1.0
-0.353 -1.007 3.657
7.563 -9.950 -2.010
4.951 11.101 3.535
Pr Ni P
6 20 13
Direct
0.000 0.815 0.282
0.000 0.468 0.185
0.000 0.718 0.532
0.500 0.281 0.466
0.500 0.185 0.719
0.500 0.534 0.815
0.000 0.913 0.106
0.000 0.193 0.087
0.000 0.894 0.807
0.500 0.667 0.333
0.500 0.077 0.144
0.500 0.067 0.923
0.500 0.856 0.933
0.000 0.333 0.667
0.000 0.586 0.024
0.000 0.438 0.414
0.000 0.976 0.562
0.500 0.759 0.070
0.500 0.311 0.241
0.500 0.930 0.689
0.500 0.566 0.590
0.500 0.025 0.434
0.500 0.410 0.975
0.000 0.078 0.317
0.000 0.240 0.922
0.000 0.683 0.760
0.500 0.613 0.132
0.500 0.518 0.387
0.500 0.868 0.482
0.500 0.961 0.232
0.500 0.271 0.039
0.500 0.768 0.729
0.000 0.481 0.613
0.000 0.132 0.519
0.000 0.387 0.868
0.000 0.234 0.276
0.000 0.042 0.766
0.000 0.724 0.958
0.000 0.000 0.000

---

9.
GGA-PBEsol Pr9Ni26P12, optimized geometry; SG = No. 187; volume = 14.34 Å³/atom; formation energy = -812 meV per atom
1.0
-2.704 -2.347 1.398
9.402 -5.309 9.271
-7.933 11.263 3.571
Pr Ni P
9 26 12
Direct
0.500 0.809 0.618
0.500 0.809 0.191
0.500 0.382 0.191
0.500 0.092 0.185
0.500 0.092 0.908
0.500 0.815 0.908
0.000 0.425 0.849
0.000 0.425 0.575
0.000 0.151 0.575
0.000 0.190 0.381
0.000 0.190 0.810
0.000 0.619 0.810
0.500 0.602 0.204
0.500 0.602 0.398
0.500 0.796 0.398
0.000 0.722 0.443
0.000 0.722 0.278
0.000 0.557 0.278
0.000 0.903 0.806
0.000 0.903 0.097
0.000 0.194 0.097
0.500 0.620 0.672
0.500 0.052 0.380
0.500 0.052 0.672
0.500 0.328 0.948
0.500 0.328 0.380
0.500 0.620 0.948
0.000 0.924 0.379
0.000 0.454 0.076
0.000 0.454 0.379
0.000 0.621 0.546
0.000 0.621 0.076
0.000 0.924 0.546
0.500 0.333 0.667
0.000 0.000 0.000
0.500 0.515 0.031
0.500 0.515 0.485
0.500 0.969 0.485
0.000 0.004 0.280
0.000 0.276 0.996
0.000 0.276 0.280
0.000 0.720 0.724
0.000 0.720 0.996
0.000 0.004 0.724
0.500 0.241 0.481
0.500 0.241 0.759
0.500 0.519 0.759

---

10.
GGA-PBEsol PrNiP, optimized geometry; SG = No. 194; volume = 18.01 Å³/atom; formation energy = -1183 meV per atom
1.0
3.933 0.000 0.000
-1.966 3.406 0.000
0.000 0.000 8.065
Pr Ni P
2 2 2
Direct
0.000 0.000 0.500
0.000 0.000 0.000
0.667 0.333 0.750
0.333 0.667 0.250
0.333 0.667 0.750
0.667 0.333 0.250

---

11.
GGA-PBEsol Pr2Ni7P4, optimized geometry; SG = No. 31; volume = 13.57 Å³/atom; formation energy = -898 meV per atom
1.0
-0.775 -0.083 3.640
6.775 -6.010 1.306
6.621 7.809 1.587
Pr Ni P
4 14 8
Direct
0.000 0.563 0.001
0.500 0.437 0.501
0.000 0.940 0.783
0.500 0.060 0.283
0.000 0.583 0.304
0.500 0.417 0.804
0.000 0.318 0.260
0.500 0.682 0.760
0.000 0.255 0.903
0.500 0.745 0.403
0.000 0.904 0.085
0.500 0.096 0.585
0.000 0.938 0.480
0.500 0.062 0.980
0.000 0.274 0.672
0.500 0.726 0.172
0.000 0.695 0.574
0.500 0.305 0.074
0.000 0.524 0.718
0.500 0.476 0.218
0.000 0.816 0.288
0.500 0.184 0.788
0.000 0.157 0.089
0.500 0.843 0.589
0.000 0.184 0.473
0.500 0.816 0.973

---

12.
GGA-PBEsol NiP2Pt, optimized geometry; SG = No. 8; volume = 14.29 Å³/atom; formation energy = -413 meV per atom
1.0
-1.888 1.034 -2.567
-1.951 -1.371 3.068
-0.141 4.475 1.907
Ni P Pt
1 2 1
Direct
0.692 0.384 0.974
0.980 0.961 0.801
0.267 0.534 0.250
0.561 0.121 0.475

---

13.
GGA-PBEsol NiPPt2, optimized geometry; SG = No. 38; volume = 13.50 Å³/atom; formation energy = -307 meV per atom
1.0
2.876 0.000 0.000
0.000 3.368 0.000
-1.438 0.000 5.575
Ni Pt P
1 2 1
Direct
0.909 0.000 0.819
0.202 0.000 0.403
0.548 0.500 0.096
0.344 0.500 0.688

---

14.
GGA-PBEsol NiPPt2, optimized geometry; SG = No. 139; volume = 13.27 Å³/atom; formation energy = -56 meV per atom
1.0
3.881 0.000 0.000
0.000 3.881 0.000
-1.940 -1.940 3.525
Ni P Pt
1 1 2
Direct
0.500 0.500 0.000
0.000 0.000 0.000
0.750 0.250 0.500
0.250 0.750 0.500

---

15.
GGA-PBEsol RbTaNiP2, optimized geometry; SG = No. 123; volume = 22.60 Å³/atom; formation energy = 324 meV per atom
1.0
-0.884 -3.169 3.518
1.968 -3.501 -2.659
4.354 0.960 1.959
Ni P Rb Ta
1 2 1 1
Direct
0.000 0.000 0.500
0.000 0.500 0.000
0.500 0.000 0.000
0.500 0.500 0.500
0.000 0.000 0.000

---

16.
GGA-PBEsol ReNi2P, optimized geometry; SG = No. 166; volume = 11.82 Å³/atom; formation energy = -109 meV per atom
1.0
-1.941 -0.704 -1.671
-0.433 -2.567 -0.527
-5.756 -1.469 5.193
Ni P Re
2 1 1
Direct
0.241 0.241 0.278
0.759 0.759 0.722
0.500 0.500 0.500
0.000 0.000 0.000

---

17.
GGA-PBEsol ReNi2P, optimized geometry; SG = No. 71; volume = 11.52 Å³/atom; formation energy = -156 meV per atom
1.0
2.751 0.000 0.000
0.000 4.053 0.000
-1.375 -2.026 4.134
Ni P Re
2 1 1
Direct
0.781 0.781 0.561
0.219 0.219 0.439
0.500 0.000 0.000
0.000 0.500 0.000

---

18.
GGA-PBEsol Re2NiP, optimized geometry; SG = No. 47; volume = 13.21 Å³/atom; formation energy = 338 meV per atom
1.0
2.953 0.000 0.000
0.000 4.162 0.000
0.000 0.000 4.300
Ni P Re
1 1 2
Direct
0.500 0.500 0.000
0.000 0.500 0.500
0.000 0.000 0.000
0.500 0.000 0.500

---

19.
GGA-PBEsol ReNi2P, optimized geometry; SG = No. 8; volume = 11.67 Å³/atom; formation energy = -66 meV per atom
1.0
-1.916 -0.207 -1.790
2.838 -2.968 -0.761
-2.624 -2.137 3.055
Ni P Re
2 1 1
Direct
0.997 0.995 0.964
0.244 0.488 0.748
0.505 0.011 0.534
0.753 0.507 0.253

---

20.
GGA-PBEsol Re2NiP, optimized geometry; SG = No. 10; volume = 13.08 Å³/atom; formation energy = 72 meV per atom
1.0
2.782 0.000 0.003
0.000 3.736 0.000
-1.119 0.000 5.033
Ni P Re
1 1 2
Direct
0.500 0.500 0.000
0.500 0.500 0.500
0.861 0.000 0.744
0.139 0.000 0.256

---

The total energy results, record by record, are as follows: -5.61, -5.50, -5.43, -3.44, -4.84, -6.56, -6.37, -6.81, -6.69, -6.89, -6.79, -6.59, -6.78, -6.53, -5.94, -7.97, -8.02, -9.32, -7.93, -9.58 eV/atom.